[1]
# Sm3YHg2

An optimized crystal structure of Sm3YHg2 (PBE, Alexandria via LeMat-Bulk).

## Properties
ΔE_f ... -0.349 eV/atom
Total magnetic moment ... 0.000 μB per atom
Density of states at the Fermi level ... 0.514 states/eV per atom
Distance to the lowest polymorph of the same formula ... 0.0 meV per atom

Cell and atoms, written as CIF:
```
data_Sm3YHg2
_space_group_name_H-M_alt 'P m c 21'
_space_group_IT_number 26
_space_group_name_Hall 'P 2c -2'
_cell_length_a 5.219
_cell_length_b 9.440
_cell_length_c 7.116
_cell_angle_alpha 90.00
_cell_angle_beta 90.00
_cell_angle_gamma 90.00
loop_
_atom_site_label
_atom_site_type_symbol
_atom_site_fract_x
_atom_site_fract_y
_atom_site_fract_z
Sm1 Sm 0.000 0.055 0.000
Sm2 Sm 0.000 0.327 0.340
Sm3 Sm 0.500 0.175 0.687
Y1 Y 0.500 0.446 0.029
Hg1 Hg 0.000 0.351 0.781
Hg2 Hg 0.500 0.151 0.248
```

[2]
# Ca2CdRe

An optimized crystal structure of Ca2CdRe (PBE, Alexandria via LeMat-Bulk).

## Properties
ΔE_f ... 0.550 eV/atom
Total magnetic moment ... 0.000 μB per atom
Density of states at the Fermi level ... 1.091 states/eV per atom

Cell and atoms, written as CIF:
```
data_Ca2CdRe
_space_group_name_H-M_alt 'P 4 m m'
_space_group_IT_number 99
_space_group_name_Hall 'P 4 -2'
_cell_length_a 3.587
_cell_length_b 3.587
_cell_length_c 8.174
_cell_angle_alpha 90.00
_cell_angle_beta 90.00
_cell_angle_gamma 90.00
loop_
_atom_site_label
_atom_site_type_symbol
_atom_site_fract_x
_atom_site_fract_y
_atom_site_fract_z
Ca1 Ca 0.000 0.000 0.000
Ca2 Ca 0.500 0.500 0.388
Cd1 Cd 0.000 0.000 0.626
Re1 Re 0.500 0.500 0.770
```

[3]
# CeNiPdPb

An optimized crystal structure of CeNiPdPb (PBE, Alexandria via LeMat-Bulk).

## Properties
ΔE_f ... -0.391 eV/atom
Total magnetic moment ... 0.094 μB per atom
Density of states at the Fermi level ... 1.434 states/eV per atom

Cell and atoms, written as CIF:
```
data_CeNiPdPb
_space_group_name_H-M_alt 'F -4 3 m'
_space_group_IT_number 216
_space_group_name_Hall 'F -4 2 3'
_cell_length_a 6.857
_cell_length_b 6.857
_cell_length_c 6.857
_cell_angle_alpha 90.00
_cell_angle_beta 90.00
_cell_angle_gamma 90.00
loop_
_atom_site_label
_atom_site_type_symbol
_atom_site_fract_x
_atom_site_fract_y
_atom_site_fract_z
Ce1 Ce 0.000 0.000 0.000
Ni1 Ni 0.250 0.250 0.250
Pd1 Pd 0.250 0.250 0.750
Pb1 Pb 0.000 0.000 0.500
```

[4]
# MnNbNiPd

An optimized crystal structure of MnNbNiPd (PBE, Alexandria via LeMat-Bulk).

## Properties
ΔE_f ... -0.078 eV/atom
Total magnetic moment ... 0.716 μB per atom
Density of states at the Fermi level ... 1.228 states/eV per atom

Cell and atoms, written as CIF:
```
data_MnNbNiPd
_space_group_name_H-M_alt 'F -4 3 m'
_space_group_IT_number 216
_space_group_name_Hall 'F -4 2 3'
_cell_length_a 6.108
_cell_length_b 6.108
_cell_length_c 6.108
_cell_angle_alpha 90.00
_cell_angle_beta 90.00
_cell_angle_gamma 90.00
loop_
_atom_site_label
_atom_site_type_symbol
_atom_site_fract_x
_atom_site_fract_y
_atom_site_fract_z
Mn1 Mn 0.000 0.000 0.000
Nb1 Nb 0.250 0.250 0.250
Ni1 Ni 0.000 0.000 0.500
Pd1 Pd 0.250 0.250 0.750
```

[5]
# Li2TmTa3N6

An optimized crystal structure of Li2TmTa3N6 (PBE, Alexandria via LeMat-Bulk).

## Properties
Total magnetic moment ... 0.000 μB per atom
Density of states at the Fermi level ... 0.269 states/eV per atom
Formation energy without anion corrections ... -1406 kJ/mol of formula units

Cell and atoms, written as CIF:
```
data_Li2TmTa3N6
_space_group_name_H-M_alt 'C 1 2/m 1'
_space_group_IT_number 12
_space_group_name_Hall '-C 2y'
_cell_length_a 13.825
_cell_length_b 3.123
_cell_length_c 6.422
_cell_angle_alpha 90.00
_cell_angle_beta 105.80
_cell_angle_gamma 90.00
loop_
_atom_site_label
_atom_site_type_symbol
_atom_site_fract_x
_atom_site_fract_y
_atom_site_fract_z
Li1 Li 0.174 0.000 0.352
Tm1 Tm 0.000 0.500 0.000
Ta1 Ta 0.000 0.500 0.500
Ta2 Ta 0.173 0.000 0.824
N1 N 0.005 0.000 0.737
N2 N 0.162 0.500 0.599
N3 N 0.172 0.500 0.066
```

[6]
# Sm2CBr2

An optimized crystal structure of Sm2CBr2 (PBE, Alexandria via LeMat-Bulk).

## Properties
Total magnetic moment ... 0.000 μB per atom
Formation energy without anion corrections ... -546 kJ/mol of formula units

Cell and atoms, written as CIF:
```
data_Sm2CBr2
_space_group_name_H-M_alt 'R -3 m'
_space_group_IT_number 166
_space_group_name_Hall '-R 3 2"'
_cell_length_a 3.8022
_cell_length_b 3.8022
_cell_length_c 33.0520
_cell_angle_alpha 90.00
_cell_angle_beta 90.00
_cell_angle_gamma 120.00
loop_
_atom_site_label
_atom_site_type_symbol
_atom_site_fract_x
_atom_site_fract_y
_atom_site_fract_z
Sm1 Sm 0.0000 0.0000 0.1239
C1 C 0.0000 0.0000 0.5000
Br1 Br 0.0000 0.0000 0.3953
```

[7]
# RbCrInCl4

An optimized crystal structure of RbCrInCl4 (PBE, Alexandria via LeMat-Bulk).

## Properties
Total magnetic moment ... 0.571 μB per atom
Formation energy without anion corrections ... -795 kJ/mol of formula units

Cell and atoms, written as CIF:
```
data_RbCrInCl4
_space_group_name_H-M_alt 'P 1 21/m 1'
_space_group_IT_number 11
_space_group_name_Hall '-P 2yb'
_cell_length_a 6.081
_cell_length_b 7.614
_cell_length_c 9.321
_cell_angle_alpha 90.00
_cell_angle_beta 101.05
_cell_angle_gamma 90.00
loop_
_atom_site_label
_atom_site_type_symbol
_atom_site_fract_x
_atom_site_fract_y
_atom_site_fract_z
Rb1 Rb 0.221 0.250 0.438
Cr1 Cr 0.034 0.250 0.829
In1 In 0.296 0.750 0.988
Cl1 Cl 0.214 0.511 0.757
Cl2 Cl 0.237 0.750 0.384
Cl3 Cl 0.268 0.250 0.064
```

[8]
# Cs2Rb8Na

An optimized crystal structure of Cs2Rb8Na (PBE, Alexandria via LeMat-Bulk).

## Properties
ΔE_f ... 0.019 eV/atom
Total magnetic moment ... 0.000 μB per atom
Density of states at the Fermi level ... 0.876 states/eV per atom

Cell and atoms, written as CIF:
```
data_Cs2Rb8Na
_space_group_name_H-M_alt 'C 1 2/m 1'
_space_group_IT_number 12
_space_group_name_Hall '-C 2y'
_cell_length_a 27.124
_cell_length_b 8.009
_cell_length_c 9.090
_cell_angle_alpha 90.00
_cell_angle_beta 90.73
_cell_angle_gamma 90.00
loop_
_atom_site_label
_atom_site_type_symbol
_atom_site_fract_x
_atom_site_fract_y
_atom_site_fract_z
Cs1 Cs 0.233 0.000 0.325
Rb1 Rb 0.037 0.000 0.249
Rb2 Rb 0.079 0.500 0.589
Rb3 Rb 0.145 0.000 0.809
Rb4 Rb 0.153 0.500 0.116
Na1 Na 0.000 0.500 0.000
```

[9]
# PPdI3

An optimized crystal structure of PPdI3 (PBE, Alexandria via LeMat-Bulk).

## Properties
Total magnetic moment ... 0.395 μB per atom
Density of states at the Fermi level ... 1.030 states/eV per atom
Formation energy without anion corrections ... 297 kJ/mol of formula units

Cell and atoms, written as CIF:
```
data_PPdI3
_space_group_name_H-M_alt 'P m -3 m'
_space_group_IT_number 221
_space_group_name_Hall '-P 4 2 3'
_cell_length_a 5.481
_cell_length_b 5.481
_cell_length_c 5.481
_cell_angle_alpha 90.00
_cell_angle_beta 90.00
_cell_angle_gamma 90.00
loop_
_atom_site_label
_atom_site_type_symbol
_atom_site_fract_x
_atom_site_fract_y
_atom_site_fract_z
P1 P 0.000 0.000 0.000
Pd1 Pd 0.500 0.500 0.500
I1 I 0.000 0.500 0.500
```

[10]
# La4Y3UP8

An optimized crystal structure of La4Y3UP8 (PBE, Alexandria via LeMat-Bulk).

## Properties
ΔE_f ... -1.506 eV/atom
Total magnetic moment ... 0.130 μB per atom
Density of states at the Fermi level ... 0.724 states/eV per atom

Cell and atoms, written as CIF:
```
data_La4Y3UP8
_space_group_name_H-M_alt 'R -3 m'
_space_group_IT_number 166
_space_group_name_Hall '-R 3 2"'
_cell_length_a 8.2440
_cell_length_b 8.2440
_cell_length_c 20.2999
_cell_angle_alpha 90.00
_cell_angle_beta 90.00
_cell_angle_gamma 120.00
loop_
_atom_site_label
_atom_site_type_symbol
_atom_site_fract_x
_atom_site_fract_y
_atom_site_fract_z
La1 La 0.0000 0.0000 0.0000
La2 La 0.0000 0.5000 0.0000
Y1 Y 0.0000 0.5000 0.5000
U1 U 0.0000 0.0000 0.5000
P1 P 0.0000 0.0000 0.2457
P2 P 0.0064 0.5032 0.2437
```

[11]
# PaCo12As6

An optimized crystal structure of PaCo12As6 (PBE, Alexandria via LeMat-Bulk).

## Properties
ΔE_f ... -0.139 eV/atom
Total magnetic moment ... 0.000 μB per atom
Density of states at the Fermi level ... 0.883 states/eV per atom

Cell and atoms, written as CIF:
```
data_PaCo12As6
_space_group_name_H-M_alt 'R -3 m'
_space_group_IT_number 166
_space_group_name_Hall '-R 3 2"'
_cell_length_a 10.7568
_cell_length_b 10.7568
_cell_length_c 7.5677
_cell_angle_alpha 90.00
_cell_angle_beta 90.00
_cell_angle_gamma 120.00
loop_
_atom_site_label
_atom_site_type_symbol
_atom_site_fract_x
_atom_site_fract_y
_atom_site_fract_z
Pa1 Pa 0.0000 0.0000 0.0000
Co1 Co 0.0000 0.3743 0.5000
Co2 Co 0.0771 0.1542 0.3322
As1 As 0.0360 0.5180 0.2638
```

[12]
# Pu2AlGa2

An optimized crystal structure of Pu2AlGa2 (PBE, Alexandria via LeMat-Bulk).

## Properties
ΔE_f ... -0.242 eV/atom
Total magnetic moment ... 2.398 μB per atom
Density of states at the Fermi level ... 3.110 states/eV per atom

Cell and atoms, written as CIF:
```
data_Pu2AlGa2
_space_group_name_H-M_alt 'I m m m'
_space_group_IT_number 71
_space_group_name_Hall '-I 2 2'
_cell_length_a 4.183
_cell_length_b 5.533
_cell_length_c 9.446
_cell_angle_alpha 90.00
_cell_angle_beta 90.00
_cell_angle_gamma 90.00
loop_
_atom_site_label
_atom_site_type_symbol
_atom_site_fract_x
_atom_site_fract_y
_atom_site_fract_z
Pu1 Pu 0.000 0.000 0.212
Al1 Al 0.000 0.500 0.000
Ga1 Ga 0.000 0.274 0.500
```